1.
Material: GaIrSe3
Method: DFT, PBE-GGA
State: optimized geometry

a b c (Å): 6.4979 3.8289 10.3541
angles (deg): 90.00 98.09 90.00
Space group P2_1/m (No. 11)
Unique sites:
1 Ga 0.0170 0.2500 0.2407 [2 per cell]
2 Ir 0.4619 0.2500 0.8382 [2 per cell]
3 Se 0.1530 0.2500 0.6642 [2 per cell]
4 Se 0.2995 0.7500 0.9451 [2 per cell]
5 Se 0.3900 0.2500 0.2794 [2 per cell]

## Properties
E_form (uncorrected) = -386.4 meV per atom
Offset from the most stable computed form = 0.000 eV/atom

=====

2.
Material: DyNiOs
Method: DFT, PBE-GGA
State: optimized geometry

a b c (Å): 5.0906 5.2053 7.6228
angles (deg): 90.00 90.00 90.00
Space group Imma (No. 74)
Unique sites:
1 Dy 0.0000 0.2500 0.1214 [4 per cell]
2 Ni 0.0000 0.0000 0.5000 [4 per cell]
3 Os 0.2500 0.2500 0.7500 [4 per cell]

## Properties
Calculated formation energy = -377.8 meV per atom
Offset from the most stable computed form = 0.000 eV/atom

=====

3.
Material: Tb3Ga3Rh2
Method: DFT, PBE-GGA
State: optimized geometry

a b c (Å): 7.8588 15.2446 5.5572
angles (deg): 90.00 90.00 90.00
Space group Pnma (No. 62)
Unique sites:
1 Tb 0.0369 0.1084 0.1151 [8 per cell]
2 Tb 0.1708 0.2500 0.6272 [4 per cell]
3 Ga 0.1716 0.7500 0.6260 [4 per cell]
4 Ga 0.1797 0.0355 0.6021 [8 per cell]
5 Rh 0.1082 0.6097 0.3734 [8 per cell]

## Properties
Calculated formation energy = -782.5 meV per atom

=====

4.
Material: Ac2La2NiRh2
Method: DFT, PBE-GGA
State: optimized geometry

a b c (Å): 14.4461 4.0719 8.1235
angles (deg): 90.00 119.60 90.00
Space group C2/m (No. 12)
Unique sites:
1 Ac 0.0292 0.0000 0.2575 [4 per cell]
2 La 0.2190 0.5000 0.7851 [4 per cell]
3 Ni 0.0000 0.5000 0.5000 [2 per cell]
4 Rh 0.1212 0.5000 0.0434 [4 per cell]

## Properties
Calculated formation energy = -481.6 meV per atom

=====

5.
Material: MgFeSiAs2
Method: DFT, PBE-GGA
State: optimized geometry

a b c (Å): 4.8883 4.8883 4.8826
angles (deg): 90.00 90.00 90.00
Space group P4/mmm (No. 123)
Unique sites:
1 Mg 0.0000 0.0000 0.0000 [1 per cell]
2 Fe 0.5000 0.5000 0.5000 [1 per cell]
3 Si 0.0000 0.0000 0.5000 [1 per cell]
4 As 0.0000 0.5000 0.0000 [2 per cell]

## Properties
E_form (uncorrected) = 1211.2 meV per atom

=====

6.
Material: LiBe3
Method: DFT, PBE-GGA
State: optimized geometry

a b c (Å): 5.6919 2.2293 6.4917
angles (deg): 90.00 113.30 90.00
Space group P2_1/m (No. 11)
Unique sites:
1 Li 0.2315 0.2500 0.1489 [2 per cell]
2 Be 0.0165 0.2500 0.6515 [2 per cell]
3 Be 0.3510 0.2500 0.5452 [2 per cell]
4 Be 0.3593 0.7500 0.8563 [2 per cell]

## Properties
Calculated formation energy = 57.5 meV per atom
Offset from the most stable computed form = 0.028 eV/atom

=====

7.
Material: NaInTe2
Method: DFT, PBE-GGA
State: optimized geometry

a b c (Å): 4.4230 4.4230 6.1495
angles (deg): 90.00 90.00 90.00
Space group P4/mmm (No. 123)
Unique sites:
1 Na 0.0000 0.0000 0.0000 [1 per cell]
2 In 0.5000 0.5000 0.5000 [1 per cell]
3 Te 0.0000 0.0000 0.5000 [1 per cell]
4 Te 0.5000 0.5000 0.0000 [1 per cell]

## Properties
E_form (uncorrected) = -419.8 meV per atom

=====

8.
Material: KGaPb4
Method: DFT, PBE-GGA
State: optimized geometry

a b c (Å): 9.3597 9.3597 9.3597
angles (deg): 90.00 90.00 90.00
Space group F-43m (No. 216)
Unique sites:
1 K 0.0000 0.0000 0.0000 [4 per cell]
2 Ga 0.2500 0.2500 0.2500 [4 per cell]
3 Pb 0.1247 0.1247 0.6247 [16 per cell]

## Properties
Calculated formation energy = 86.6 meV per atom

=====

Please write out number 8 again, unchanged.
Material: KGaPb4
Method: DFT, PBE-GGA
State: optimized geometry

a b c (Å): 9.3597 9.3597 9.3597
angles (deg): 90.00 90.00 90.00
Space group F-43m (No. 216)
Unique sites:
1 K 0.0000 0.0000 0.0000 [4 per cell]
2 Ga 0.2500 0.2500 0.2500 [4 per cell]
3 Pb 0.1247 0.1247 0.6247 [16 per cell]

## Properties
Calculated formation energy = 86.6 meV per atom